GdSc2Pb: relaxed, PBE.

Calculated values
The energy relative to the elements is 0.11 eV/atom. The density comes out at 6.608 Mg/m³.

Unit cell a=3.3965 b=3.3965 c=34.2858 alpha=90.00 beta=90.00 gamma=120.00
Space group R-3m (No. 166, hexagonal axes)
Inequivalent atoms, fractional coordinates:
Gd 0.0000 0.0000 0.0000 x3
Sc 0.0000 0.0000 0.4122 x6
Pb 0.0000 0.0000 0.5000 x3